# Cs2NiPF6, optimized geometry, DFT PBE with a Hubbard U
# calculated volume = 183.9 Å³/f.u.
# electronic total energy = -85.20 eV for the cell shown
data_Cs2NiPF6
_chemical_formula_sum 'Cs4 Ni2 P2 F12'
_symmetry_space_group_name_H-M 'I 4/m m m'
_symmetry_Int_Tables_number 139
_symmetry_space_group_name_Hall '-I 4 2'
_cell_length_a 5.7793
_cell_length_b 5.7793
_cell_length_c 11.0130
_cell_angle_alpha 90.00
_cell_angle_beta 90.00
_cell_angle_gamma 90.00
loop_
_atom_site_label
_atom_site_fract_x
_atom_site_fract_y
_atom_site_fract_z
Cs1 0.0000 0.5000 0.2500
Ni1 0.0000 0.0000 0.0000
P1 0.0000 0.0000 0.5000
F1 0.0000 0.0000 0.1761
F2 0.2385 0.2385 0.5000